DFT (PBE-GGA) results for a relaxed structure of Ac3BS6.

DOS(E_F)   0.000 states/eV per cell
Volume   27.096 A^3/atom
Uncorrected energy   -6.071 eV per atom

Cell: 11.4052 14.1505 6.7157 Å, 90.00 90.00 90.00°
Space group Cmc2_1 (No. 36)
Unique sites:
Ac (0.0000, 0.1093, 0.0000) [4 per cell]
Ac (0.1853, 0.3944, 0.9420) [8 per cell]
B (0.0000, 0.3082, 0.3846) [4 per cell]
S (0.0000, 0.2960, 0.6788) [4 per cell]
S (0.0000, 0.4404, 0.2839) [4 per cell]
S (0.1394, 0.2486, 0.2675) [8 per cell]
S (0.1591, 0.0161, 0.7174) [8 per cell]